[1]
HfPtAu3 | SCAN | single point on PBEsol structure

Cell lengths 4.887, 4.887, 4.887 Å; angles 90.00, 90.00, 90.00 degrees
Site moments in Bohr magnetons follow the coordinates.
Sites, in units of the cell vectors:
Pt (0.000, 0.000, 0.000)  0.06
Hf (0.500, 0.500, 0.500)  0.61
Au (0.000, 0.500, 0.000)  0.01
Au (0.000, 0.000, 0.500)  0.01
Au (0.500, 0.000, 0.000)  0.01

Properties
Electronic total energy, eV/atom: -67.20
Energy above the most stable polymorph in this dataset, meV per atom: 0

=====

[2]
Rb2HfPtAu | SCAN | single point on PBEsol structure

Cell lengths 5.229, 5.848, 5.848 Å; angles 90.00, 90.00, 90.00 degrees
Sites, in units of the cell vectors:
Pt (0.500, 0.500, 0.500)
Rb (0.000, 0.000, 0.500)
Hf (0.500, 0.000, 0.000)
Rb (0.000, 0.500, 0.000)
Au (0.000, 0.000, 0.000)

Properties
Electronic total energy, eV/atom: -47.74

=====

[3]
RbHf2Au2 | SCAN | single point on PBEsol structure

Cell lengths 4.732, 4.732, 6.513 Å; angles 111.30, 111.30, 90.00 degrees
Sites, in units of the cell vectors:
Hf (0.750, 0.250, 0.500)
Au (0.373, 0.373, 0.746)
Hf (0.250, 0.750, 0.500)
Rb (0.000, 0.000, 0.000)
Au (0.627, 0.627, 0.254)

Properties
Electronic total energy, eV/atom: -56.98

=====

[4]
RbHfScAu2 | SCAN | single point on PBEsol structure

Cell lengths 5.104, 5.104, 5.386 Å; angles 90.00, 90.00, 90.00 degrees
Sites, in units of the cell vectors:
Sc (0.500, 0.500, 0.500)
Hf (0.000, 0.000, 0.000)
Au (0.500, 0.000, 0.000)
Au (0.000, 0.500, 0.000)
Rb (0.000, 0.000, 0.500)

Properties
Electronic total energy, eV/atom: -46.40

=====

[5]
HfRe3Au | SCAN | single point on PBEsol structure

Cell lengths 4.712, 4.712, 4.712 Å; angles 90.00, 90.00, 90.00 degrees
Sites, in units of the cell vectors:
Re (0.000, 0.500, 0.000)
Au (0.000, 0.000, 0.000)
Hf (0.500, 0.500, 0.500)
Re (0.000, 0.000, 0.500)
Re (0.500, 0.000, 0.000)

Properties
Electronic total energy, eV/atom: -66.52

=====

[6]
Hf3ReAu | SCAN | single point on PBEsol structure

Cell lengths 4.921, 4.921, 4.921 Å; angles 90.00, 90.00, 90.00 degrees
Sites, in units of the cell vectors:
Au (0.000, 0.000, 0.000)
Hf (0.000, 0.500, 0.000)
Hf (0.000, 0.000, 0.500)
Hf (0.500, 0.000, 0.000)
Re (0.500, 0.500, 0.500)

Properties
Electronic total energy, eV/atom: -64.44

=====

[7]
HfZrReAu2 | SCAN | single point on PBEsol structure

Cell lengths 4.697, 4.983, 4.983 Å; angles 90.00, 90.00, 90.00 degrees
Site moments in Bohr magnetons follow the coordinates.
Sites, in units of the cell vectors:
Zr (0.500, 0.500, 0.500)  0.93
Au (0.000, 0.500, 0.000)  0.04
Au (0.000, 0.000, 0.500)  0.04
Re (0.000, 0.000, 0.000)  0.06
Hf (0.500, 0.000, 0.000)  0.20

Properties
Electronic total energy, eV/atom: -59.73

=====

[8]
Hf3RuAu | SCAN | single point on PBEsol structure

Cell lengths 4.948, 4.948, 4.948 Å; angles 90.00, 90.00, 90.00 degrees
Sites, in units of the cell vectors:
Hf (0.000, 0.000, 0.500)
Hf (0.500, 0.000, 0.000)
Ru (0.500, 0.500, 0.500)
Hf (0.000, 0.500, 0.000)
Au (0.000, 0.000, 0.000)

Properties
Electronic total energy, eV/atom: -57.39

=====

| no. | calculated formation energy (eV/atom) |
| --- | --- |
| 1 | 0.8697 |
| 2 | 0.9574 |
| 3 | -0.1029 |
| 4 | 0.7879 |
| 5 | 2.5034 |
| 6 | 1.2104 |
| 7 | 0.8270 |
| 8 | 1.0115 |